SbIr | GGA-PBE | relaxed

Structure (POSCAR):
```
SbIr
1.0
10.656 0.000 0.000
0.000 10.656 0.000
0.000 0.000 4.074
Sb Ir
8 8
direct
0.427 0.799 0.000 Sb
0.573 0.201 0.000 Sb
0.201 0.427 0.000 Sb
0.799 0.573 0.000 Sb
0.927 0.299 0.500 Sb
0.073 0.701 0.500 Sb
0.701 0.927 0.500 Sb
0.299 0.073 0.500 Sb
0.336 0.216 0.000 Ir
0.664 0.784 0.000 Ir
0.784 0.336 0.000 Ir
0.216 0.664 0.000 Ir
0.836 0.716 0.500 Ir
0.164 0.284 0.500 Ir
0.284 0.836 0.500 Ir
0.716 0.164 0.500 Ir
```

Values from the calculation:
volume	28.91	Å³/atom
formation energy without anion corrections	0.138	eV/atom


Y5HoMg6 | GGA-PBE | relaxed

Structure (POSCAR):
```
Y5HoMg6
1.0
-2.087 4.690 1.642
-5.294 -3.718 3.890
3.795 2.231 7.297
Y Mg Ho
5 6 1
direct
0.667 0.500 0.667 Y
0.334 0.000 0.332 Y
0.000 0.500 0.000 Y
0.666 0.000 0.668 Y
0.333 0.500 0.333 Y
0.833 0.751 0.333 Mg
0.833 0.249 0.333 Mg
0.500 0.250 0.000 Mg
0.500 0.750 0.000 Mg
0.167 0.751 0.667 Mg
0.167 0.249 0.667 Mg
0.000 0.000 0.000 Ho
```

Values from the calculation:
volume	27.41	Å³/atom


LiSm6Au5 | GGA-PBE | relaxed

Structure (POSCAR):
```
LiSm6Au5
1.0
-3.903 -3.221 0.930
-0.653 2.382 -8.738
7.493 -4.062 3.131
Au Sm Li
5 6 1
direct
0.500 0.146 0.854 Au
0.000 0.330 0.670 Au
0.500 0.500 0.500 Au
0.000 0.670 0.330 Au
0.500 0.854 0.146 Au
0.252 0.082 0.422 Sm
0.748 0.578 0.918 Sm
0.761 0.261 0.261 Sm
0.239 0.739 0.739 Sm
0.252 0.422 0.082 Sm
0.748 0.918 0.578 Sm
0.000 0.000 0.000 Li
```

Values from the calculation:
volume	24.97	Å³/atom


KTe2Ru | GGA-PBE | relaxed

Structure (POSCAR):
```
KTe2Ru
1.0
0.000 3.604 3.604
3.604 0.000 3.604
3.604 3.604 0.000
Ru K Te
1 1 2
direct
0.500 0.500 0.500 Ru
0.000 0.000 0.000 K
0.250 0.250 0.250 Te
0.750 0.750 0.750 Te
```

Values from the calculation:
volume	23.41	Å³/atom
energy above the most stable polymorph in this dataset	0.599	eV per atom
formation energy without anion corrections	0.230	eV/atom


NdDyBeGa | GGA-PBE | relaxed

Structure (POSCAR):
```
NdDyBeGa
1.0
5.040 0.000 0.000
2.520 4.365 0.000
2.520 1.455 4.115
Be Nd Ga Dy
1 1 1 1
direct
0.750 0.750 0.750 Be
0.500 0.500 0.500 Nd
0.250 0.250 0.250 Ga
0.000 0.000 0.000 Dy
```

Values from the calculation:
volume	22.63	Å³/atom


PmMgGaSb | GGA-PBE | relaxed

Structure (POSCAR):
```
PmMgGaSb
1.0
5.202 0.000 0.000
2.601 4.505 0.000
2.601 1.502 4.247
Sb Mg Ga Pm
1 1 1 1
direct
0.750 0.750 0.750 Sb
0.500 0.500 0.500 Mg
0.250 0.250 0.250 Ga
0.000 0.000 0.000 Pm
```

Values from the calculation:
volume	24.88	Å³/atom
formation energy without anion corrections	-0.367	eV/atom


K4Pa3Te8Pd | GGA-PBE | relaxed

Structure (POSCAR):
```
K4Pa3Te8Pd
1.0
-0.683 3.132 -8.256
5.342 -7.466 -3.274
-7.308 -1.983 4.603
K Pa Te Pd
4 3 8 1
direct
0.500 0.000 0.000 K
0.500 0.000 0.500 K
0.000 0.000 0.000 K
0.000 0.000 0.500 K
0.500 0.500 0.000 Pa
0.500 0.500 0.500 Pa
0.000 0.500 0.500 Pa
0.231 0.703 0.972 Te
0.231 0.703 0.463 Te
0.261 0.284 0.523 Te
0.741 0.703 0.972 Te
0.259 0.297 0.028 Te
0.739 0.716 0.477 Te
0.769 0.297 0.537 Te
0.769 0.297 0.028 Te
0.000 0.500 0.000 Pd
```

Values from the calculation:
volume	35.23	Å³/atom
formation energy without anion corrections	-0.849	eV/atom


ZnCd2Ir | GGA-PBE | relaxed

Structure (POSCAR):
```
ZnCd2Ir
1.0
2.909 -0.013 0.000
-1.391 2.554 0.000
0.000 0.000 9.634
Cd Ir Zn
2 1 1
direct
0.000 0.000 0.005 Cd
0.000 0.000 0.495 Cd
0.500 0.500 0.250 Ir
0.500 0.500 0.750 Zn
```

Values from the calculation:
volume	17.85	Å³/atom


NiAgAs2 | GGA-PBE | relaxed

Structure (POSCAR):
```
NiAgAs2
1.0
-5.497 -2.950 2.304
2.635 -1.747 -3.388
0.303 -2.668 1.626
Ag As Ni
1 2 1
direct
0.500 0.500 0.000 Ag
0.000 0.000 0.000 As
0.500 0.000 0.500 As
0.000 0.500 0.500 Ni
```

Values from the calculation:
volume	16.50	Å³/atom
energy above the most stable polymorph in this dataset	0.224	eV per atom


Zr2ZnTe | GGA-PBE | relaxed

Structure (POSCAR):
```
Zr2ZnTe
1.0
4.080 0.000 0.000
0.000 4.517 0.000
0.000 0.000 4.517
Te Zn Zr
1 1 2
direct
0.500 0.500 0.000 Te
0.500 0.000 0.500 Zn
0.000 0.000 0.000 Zr
0.000 0.500 0.500 Zr
```

Values from the calculation:
volume	20.81	Å³/atom
energy above the most stable polymorph in this dataset	0.137	eV per atom
formation energy without anion corrections	-0.305	eV/atom


Ac3SmCo | GGA-PBE | relaxed

Structure (POSCAR):
```
Ac3SmCo
1.0
7.359 0.430 -2.479
-4.128 6.309 -1.907
-0.186 -0.430 7.763
Ac Sm Co
6 2 2
direct
0.107 0.779 0.245 Ac
0.107 0.362 0.828 Ac
0.534 0.279 0.172 Ac
0.072 0.276 0.295 Ac
0.534 0.862 0.755 Ac
0.981 0.776 0.705 Ac
0.556 0.356 0.700 Sm
0.655 0.856 0.300 Sm
0.478 0.569 0.409 Co
0.160 0.069 0.591 Co
```

Values from the calculation:
volume	36.10	Å³/atom
energy above the most stable polymorph in this dataset	0.000	eV per atom


Mg2Cu2O5 | GGA-PBE | relaxed

Structure (POSCAR):
```
Mg2Cu2O5
1.0
3.606 0.000 0.000
0.000 5.015 0.000
0.000 0.000 10.596
Mg Cu O
4 4 10
direct
0.000 0.747 0.906 Mg
0.000 0.253 0.094 Mg
0.000 0.247 0.594 Mg
0.000 0.753 0.406 Mg
0.500 0.719 0.636 Cu
0.500 0.281 0.364 Cu
0.500 0.781 0.136 Cu
0.500 0.219 0.864 Cu
0.500 0.000 0.500 O
0.500 0.656 0.318 O
0.500 0.156 0.182 O
0.500 0.844 0.818 O
0.000 0.817 0.098 O
0.000 0.183 0.902 O
0.500 0.344 0.682 O
0.000 0.683 0.598 O
0.500 0.500 0.000 O
0.000 0.317 0.402 O
```

Values from the calculation:
volume	10.65	Å³/atom
energy above the most stable polymorph in this dataset	0.062	eV per atom
formation energy without anion corrections	-1.231	eV/atom


Fe2B2Os | GGA-PBE | relaxed

Structure (POSCAR):
```
Fe2B2Os
1.0
-2.361 2.623 0.681
-2.126 -2.353 1.692
-0.496 0.872 4.408
B Os Fe
2 1 2
direct
0.750 0.250 0.500 B
0.250 0.750 0.500 B
0.000 0.000 0.000 Os
0.356 0.356 0.288 Fe
0.644 0.644 0.712 Fe
```

Values from the calculation:
volume	9.66	Å³/atom
energy above the most stable polymorph in this dataset	0.498	eV per atom


NbCuP2Rh | GGA-PBE | relaxed

Structure (POSCAR):
```
NbCuP2Rh
1.0
4.461 0.000 0.000
0.000 4.536 0.000
0.000 0.000 4.461
P Nb Rh Cu
2 1 1 1
direct
0.000 0.000 0.500 P
0.500 0.000 0.000 P
0.500 0.500 0.500 Nb
0.000 0.000 0.000 Rh
0.000 0.500 0.000 Cu
```

Values from the calculation:
volume	18.06	Å³/atom


PuTlGe2 | GGA-PBE | relaxed

Structure (POSCAR):
```
PuTlGe2
1.0
4.173 0.000 0.000
0.000 4.594 0.000
0.000 0.000 4.594
Tl Ge Pu
1 2 1
direct
0.500 0.000 0.000 Tl
0.000 0.000 0.500 Ge
0.000 0.500 0.000 Ge
0.500 0.500 0.500 Pu
```

Values from the calculation:
volume	22.01	Å³/atom


Sb3Pt | GGA-PBE | relaxed

Structure (POSCAR):
```
Sb3Pt
1.0
5.015 -0.081 0.000
-0.978 4.919 0.000
0.000 0.000 3.831
Pt Sb
1 3
direct
0.000 0.000 0.000 Pt
0.000 0.500 0.500 Sb
0.500 0.000 0.500 Sb
0.500 0.500 0.000 Sb
```

Values from the calculation:
volume	23.55	Å³/atom
energy above the most stable polymorph in this dataset	0.400	eV per atom
formation energy without anion corrections	0.198	eV/atom


CsCaI3 | GGA-PBE | relaxed

Structure (POSCAR):
```
CsCaI3
1.0
7.042 0.000 1.822
0.000 8.377 0.000
-0.868 0.000 8.545
Cs I Ca
2 6 2
direct
0.676 0.250 0.587 Cs
0.324 0.750 0.413 Cs
0.738 0.496 0.145 I
0.262 0.504 0.855 I
0.738 0.004 0.145 I
0.262 0.996 0.855 I
0.202 0.250 0.393 I
0.798 0.750 0.607 I
0.062 0.250 0.082 Ca
0.938 0.750 0.918 Ca
```

Values from the calculation:
volume	51.73	Å³/atom
formation energy without anion corrections	-1.547	eV/atom


NaCdSeBr2 | GGA-PBE | relaxed

Structure (POSCAR):
```
NaCdSeBr2
1.0
5.302 0.000 0.000
0.000 5.302 0.000
0.000 0.000 5.516
Na Se Br Cd
1 1 2 1
direct
0.000 0.000 0.000 Na
0.000 0.000 0.500 Se
0.000 0.500 0.000 Br
0.500 0.000 0.000 Br
0.500 0.500 0.500 Cd
```

Values from the calculation:
volume	31.01	Å³/atom
energy above the most stable polymorph in this dataset	0.497	eV per atom
formation energy without anion corrections	-0.060	eV/atom


Tb8Y3Sc2 | GGA-PBE | relaxed

Structure (POSCAR):
```
Tb8Y3Sc2
1.0
-5.320 0.342 4.063
-1.872 -7.518 5.224
1.641 -0.102 9.198
Tb Y Sc
8 3 2
direct
0.040 0.591 0.591 Tb
0.960 0.409 0.409 Tb
0.012 0.191 0.191 Tb
0.988 0.809 0.809 Tb
0.552 0.559 0.197 Tb
0.552 0.197 0.559 Tb
0.448 0.803 0.441 Tb
0.448 0.441 0.803 Tb
0.500 0.000 0.000 Y
0.000 0.172 0.828 Y
0.000 0.828 0.172 Y
0.516 0.202 0.202 Sc
0.484 0.798 0.798 Sc
```

Values from the calculation:
volume	32.67	Å³/atom


MgSc3 | GGA-PBE | relaxed

Structure (POSCAR):
```
MgSc3
1.0
-0.124 -1.791 -5.204
-0.726 -4.406 3.219
-3.300 0.480 -0.087
Sc Mg
3 1
direct
0.000 0.500 0.500 Sc
0.500 0.000 0.500 Sc
0.500 0.500 0.000 Sc
0.000 0.000 0.000 Mg
```

Values from the calculation:
volume	24.19	Å³/atom
energy above the most stable polymorph in this dataset	0.046	eV per atom


Pr3HoTm2 | GGA-PBE | relaxed

Structure (POSCAR):
```
Pr3HoTm2
1.0
3.499 0.000 0.629
1.566 6.538 1.335
-1.358 0.029 17.599
Pr Ho Tm
6 2 4
direct
0.069 0.031 0.831 Pr
0.931 0.969 0.169 Pr
0.628 0.735 0.010 Pr
0.372 0.265 0.990 Pr
0.736 0.868 0.661 Pr
0.264 0.132 0.339 Pr
0.460 0.400 0.681 Ho
0.540 0.600 0.319 Ho
0.804 0.558 0.834 Tm
0.196 0.442 0.166 Tm
0.632 0.236 0.499 Tm
0.368 0.764 0.501 Tm
```

Values from the calculation:
volume	34.01	Å³/atom
energy above the most stable polymorph in this dataset	0.053	eV per atom


Ac2Zn2InRh5 | GGA-PBE | relaxed

Structure (POSCAR):
```
Ac2Zn2InRh5
1.0
3.726 0.000 0.000
0.000 10.104 0.000
0.000 0.000 10.104
Ac Zn In Rh
4 4 2 10
direct
0.000 0.678 0.178 Ac
0.000 0.322 0.822 Ac
0.000 0.178 0.322 Ac
0.000 0.822 0.678 Ac
0.000 0.120 0.620 Zn
0.000 0.880 0.380 Zn
0.000 0.620 0.880 Zn
0.000 0.380 0.120 Zn
0.000 0.000 0.000 In
0.000 0.500 0.500 In
0.500 0.209 0.064 Rh
0.500 0.791 0.936 Rh
0.500 0.064 0.791 Rh
0.500 0.709 0.436 Rh
0.500 0.936 0.209 Rh
0.500 0.291 0.564 Rh
0.500 0.564 0.709 Rh
0.500 0.436 0.291 Rh
0.500 0.500 0.000 Rh
0.500 0.000 0.500 Rh
```

Values from the calculation:
volume	19.02	Å³/atom


LiY2Ni2 | GGA-PBE | relaxed

Structure (POSCAR):
```
LiY2Ni2
1.0
7.378 0.000 0.000
0.000 7.378 0.000
0.000 0.000 3.677
Y Ni Li
4 4 2
direct
0.173 0.673 0.500 Y
0.673 0.827 0.500 Y
0.827 0.327 0.500 Y
0.327 0.173 0.500 Y
0.380 0.880 0.000 Ni
0.880 0.620 0.000 Ni
0.620 0.120 0.000 Ni
0.120 0.380 0.000 Ni
0.000 0.000 0.000 Li
0.500 0.500 0.000 Li
```

Values from the calculation:
volume	20.01	Å³/atom
energy above the most stable polymorph in this dataset	0.000	eV per atom


Ho4AlOs | GGA-PBE | relaxed

Structure (POSCAR):
```
Ho4AlOs
1.0
-2.034 4.422 -3.622
-5.505 -6.888 0.402
0.744 3.943 6.618
Ho Al Os
8 2 2
direct
0.099 0.210 0.851 Ho
0.768 0.720 0.658 Ho
0.253 0.641 0.851 Ho
0.389 0.938 0.658 Ho
0.611 0.062 0.342 Ho
0.747 0.359 0.149 Ho
0.232 0.280 0.342 Ho
0.901 0.790 0.149 Ho
0.375 0.625 0.249 Al
0.625 0.375 0.751 Al
0.249 0.999 0.999 Os
0.751 0.001 0.001 Os
```

Values from the calculation:
volume	26.53	Å³/atom
energy above the most stable polymorph in this dataset	0.029	eV per atom


What did we get for electronic total energy? Answer: -101.658 -47.710 -54.746 -15.738 -16.884 -14.962 -76.794 -11.073 -17.030 -22.733 -48.573 -94.501 -39.617 -28.551 -26.715 -17.615 -30.478 -9.363 -66.082 -20.444 -54.349 -110.632 -55.746 -70.000 eV for the cell shown, in the order shown.